Entry 1:
Sm3HoErTh, relaxed, DFT PBE; mass density = 8.3 Mg/m³; formation enthalpy at 0 K = 0.190 eV/atom; total DFT energy (no corrections) = -4.930 eV per atom
1.0
-0.780 2.800 4.650
9.331 -6.146 2.032
4.726 4.509 -1.923
Sm Ho Er Th
6 2 2 2
direct
0.837 0.675 0.259
0.776 0.552 0.804
0.474 0.948 0.271
0.224 0.448 0.196
0.526 0.052 0.729
0.163 0.325 0.741
0.368 0.737 0.955
0.632 0.263 0.045
0.668 0.336 0.479
0.332 0.664 0.521
0.068 0.135 0.330
0.932 0.865 0.670

=====

Entry 2:
SmHoEr5Th2, relaxed, DFT PBE; mass density = 9.2 Mg/m³; formation enthalpy at 0 K = 0.341 eV/atom; total DFT energy (no corrections) = -4.876 eV per atom
1.0
8.707 0.000 0.000
0.000 8.707 0.000
-4.353 -4.353 7.702
Sm Ho Er Th
2 2 10 4
direct
0.250 0.750 0.500
0.750 0.250 0.500
0.250 0.250 0.500
0.750 0.750 0.500
0.931 0.431 0.280
0.651 0.151 0.720
0.069 0.569 0.720
0.151 0.069 0.720
0.569 0.651 0.720
0.849 0.931 0.280
0.431 0.349 0.280
0.349 0.849 0.280
0.500 0.500 0.000
0.000 0.000 0.000
0.119 0.381 0.000
0.619 0.119 0.000
0.381 0.881 0.000
0.881 0.619 0.000

=====

Entry 3:
Sm6Ho2Er3Th, relaxed, DFT PBE; mass density = 8.4 Mg/m³; formation enthalpy at 0 K = 0.031 eV/atom; total DFT energy (no corrections) = -4.850 eV per atom
1.0
6.197 0.001 0.021
-3.096 5.368 0.021
-1.075 -1.861 11.661
Sm Ho Er Th
6 2 3 1
direct
0.916 0.586 0.750
0.754 0.754 0.250
0.084 0.414 0.250
0.586 0.916 0.750
0.246 0.246 0.750
0.414 0.084 0.250
0.333 0.667 0.000
0.667 0.333 0.000
0.167 0.833 0.500
0.833 0.167 0.500
0.500 0.500 0.500
0.000 0.000 0.000

=====

Question: Which value of total DFT energy (no corrections) does entry 1 give?
Answer: -4.930 eV per atom

=====

Repeat the third record exactly.
Sm6Ho2Er3Th, relaxed, DFT PBE; mass density = 8.4 Mg/m³; formation enthalpy at 0 K = 0.031 eV/atom; total DFT energy (no corrections) = -4.850 eV per atom
1.0
6.197 0.001 0.021
-3.096 5.368 0.021
-1.075 -1.861 11.661
Sm Ho Er Th
6 2 3 1
direct
0.916 0.586 0.750
0.754 0.754 0.250
0.084 0.414 0.250
0.586 0.916 0.750
0.246 0.246 0.750
0.414 0.084 0.250
0.333 0.667 0.000
0.667 0.333 0.000
0.167 0.833 0.500
0.833 0.167 0.500
0.500 0.500 0.500
0.000 0.000 0.000

=====

Question: Look up the mass density of the first one.
Answer: 8.3 Mg/m³

=====

Question: What is the total DFT energy (no corrections) in the first record?
Answer: -4.930 eV per atom